Material: Mn2NiBi
Method: DFT, GGA-PBE
State: optimized geometry

a = 3.7373 Å, b = 3.7373 Å, c = 9.4294 Å
α = 78.57°, β = 78.57°, γ = 90.00°
Last column: nearest neighbours and their distance in Å.
Atoms (fractional coordinates):
Mn: 0.5260 0.1250 0.2500  2 Mn 2.18
Mn: 0.2240 0.6250 0.2500  2 Mn 2.18
Mn: 0.8750 0.7760 0.7500  2 Mn 2.18
Mn: 0.3750 0.4740 0.7500  2 Mn 2.18
Bi: 0.7500 0.2500 0.5000  4 Ni 2.64, 4 Mn 2.77
Bi: 0.0000 0.0000 0.0000  4 Ni 2.64, 4 Mn 2.77
Ni: 0.2500 0.7500 0.5000  4 Mn 2.51, 4 Bi 2.64
Ni: 0.5000 0.5000 0.0000  4 Mn 2.51, 4 Bi 2.64

Results
The value obtained for the density of states at the Fermi level is 7.00 states/eV/f.u. As for the total energy: -6.298 eV per atom. The formation energy comes out at 0.70 eV per atom.